[1]
Computed, not measured: an optimized crystal structure of Ce4SnRh at the PBE level of DFT.

Cell lengths 5.8145, 7.9777, 8.1836 Å; angles 111.23, 100.56, 110.67 degrees
Last column: nearest neighbours and their distance in Å.
Element x y z (fractional)
Ce: 0.0575 0.2119 0.8419  2 Rh 2.75-2.95
Ce: 0.8073 0.7201 0.6126  1 Ce 2.73
Ce: 0.2844 0.6300 0.8419  2 Rh 2.75-2.95
Ce: 0.3052 0.8924 0.6126  1 Ce 2.73
Ce: 0.6948 0.1076 0.3874  1 Ce 2.73
Ce: 0.7156 0.3700 0.1581  2 Rh 2.75-2.95
Ce: 0.1927 0.2799 0.3874  1 Ce 2.73
Ce: 0.9425 0.7881 0.1581  2 Rh 2.75-2.95
Sn: 0.3701 0.6201 0.2402  10 Ce 3.22-3.41
Sn: 0.6299 0.3799 0.7598  10 Ce 3.22-3.41
Rh: 0.2654 0.0154 0.0308  4 Ce 2.75-2.95, 2 Rh 2.94
Rh: 0.7346 0.9846 0.9692  4 Ce 2.75-2.95, 2 Rh 2.94

## Properties
* total energy: -37.79 eV/f.u.
* formation energy from the elements: -2.7 eV/f.u.
* space group: C2/c (15)
* M_tot: 2.39 μB/cell


[2]
Computed, not measured: an optimized crystal structure of NaMnCu2Si at the PBE level of DFT.

Cell lengths 4.5979, 5.0033, 4.5979 Å; angles 90.00, 90.00, 90.00 degrees
Last column: nearest neighbours and their distance in Å.
Element x y z (fractional)
Na: 0.0000 0.5000 0.0000  2 Mn 2.50
Si: 0.5000 0.5000 0.5000  4 Na 3.25, 8 Cu 3.40
Mn: 0.0000 0.0000 0.0000  4 Cu 2.30, 2 Na 2.50
Cu: 0.0000 0.0000 0.5000  2 Mn 2.30
Cu: 0.5000 0.0000 0.0000  2 Mn 2.30

## Properties
* total energy: -18.13 eV/f.u.
* formation energy without anion corrections: 1.20 eV/atom
* space group: P4/mmm (123)
* M_tot: 4.26 μB/cell


[3]
Computed, not measured: an optimized crystal structure of Tm6TlRh2 at the PBE level of DFT.

Cell lengths 8.3957, 8.3957, 8.3957 Å; angles 104.63, 110.84, 113.06 degrees
Last column: nearest neighbours and their distance in Å.
Element x y z (fractional)
Tm: 0.5283 0.7109 0.8174  3 Rh 2.95-3.06, 1 Tl 3.19
Tm: 0.4717 0.2891 0.1826  3 Rh 2.95-3.06, 1 Tl 3.19
Tm: 0.1066 0.2891 0.8174  3 Rh 2.95-3.06, 1 Tl 3.19
Tm: 0.8934 0.7109 0.1826  3 Rh 2.95-3.06, 1 Tl 3.19
Tm: 0.7948 0.7620 0.5569  1 Rh 2.75
Tm: 0.2052 0.2380 0.4431  1 Rh 2.75
Tm: 0.2052 0.7620 0.9672  1 Rh 2.75
Tm: 0.7948 0.2380 0.0328  1 Rh 2.75
Tm: 0.6938 0.3642 0.6704  3 Rh 2.70-2.95
Tm: 0.3062 0.6358 0.3296  3 Rh 2.70-2.95
Tm: 0.3062 0.9766 0.6704  3 Rh 2.70-2.95
Tm: 0.6938 0.0234 0.3296  3 Rh 2.70-2.95
Tl: 0.0000 0.5000 0.5000  12 Tm 3.33-3.60
Tl: 0.0000 0.0000 0.0000  8 Tm 3.13-3.19, 2 Rh 3.22
Rh: 0.5000 0.3664 0.8664  6 Tm 2.70-2.95, 1 Rh 2.74
Rh: 0.5000 0.6336 0.1336  6 Tm 2.70-2.95, 1 Rh 2.74
Rh: 0.6623 0.0000 0.6623  8 Tm 2.75-3.06
Rh: 0.3377 0.0000 0.3377  8 Tm 2.75-3.06

## Properties
* total energy: -49.11 eV/f.u.
* formation energy from the elements: -5.2 eV/f.u.
* space group: Immm (71)
* M_tot: 0.00 μB/cell